Crystalline ZrTaBi2Os at its relaxed geometry, computed with GGA-PBEsol.

```
ZrTaBi2Os
1.0
-2.127 0.041 -4.345
4.419 -1.619 -2.179
-1.472 -4.927 0.674
Zr Ta Bi Os
1 1 2 1
direct
0.500 0.500 0.500
0.500 0.000 0.000
0.000 0.000 0.500
0.000 0.500 0.000
0.000 0.000 0.000
```

- Spin magnetization: 0.0 μB per formula unit
- SG: P4/mmm (123)
- Uncorrected energy: -7.27 eV/atom

***

Crystalline Ta2MnCr at its relaxed geometry, computed with GGA-PBEsol.

```
Ta2MnCr
1.0
-1.505 1.456 2.083
0.751 -0.293 2.841
4.637 6.399 0.970
Ta Mn Cr
2 1 1
direct
0.251 0.251 0.248
0.749 0.749 0.752
0.000 0.000 0.000
0.500 0.500 0.500
```

- Spin magnetization: 0.0 μB per formula unit
- SG: R-3m (166)
- Uncorrected energy: -10.94 eV/atom

***

Crystalline Na3PRu at its relaxed geometry, computed with GGA-PBEsol.

```
Na3PRu
1.0
-5.052 1.544 -0.599
-1.520 -5.087 -0.293
-0.658 -0.107 5.275
P Ru Na
1 1 3
direct
0.500 0.500 0.500
0.000 0.000 0.000
0.000 0.000 0.500
0.000 0.500 0.000
0.500 0.000 0.000
```

- Spin magnetization: 3.9 μB per formula unit
- SG: Pm-3m (221)
- Uncorrected energy: -2.57 eV/atom

***

Crystalline MnAlSb at its relaxed geometry, computed with GGA-PBEsol.

```
MnAlSb
1.0
4.495 0.000 0.000
2.247 3.893 0.000
2.247 1.298 3.670
Al Sb Mn
1 1 1
direct
0.000 0.000 0.000
0.250 0.250 0.250
0.500 0.500 0.500
```

- Energy above the lowest structure with this stoichiometry: 413 meV per atom
- Spin magnetization: 3.4 μB per formula unit
- E_form (uncorrected): 58 kJ/mol of atoms
- SG: F-43m (216)

***

Crystalline CrAgCl2 at its relaxed geometry, computed with GGA-PBEsol.

```
CrAgCl2
1.0
-2.119 2.418 -1.592
-1.708 -2.756 -1.913
-3.840 -0.568 4.247
Cl Cr Ag
2 1 1
direct
0.000 0.500 0.500
0.000 0.000 0.000
0.500 0.500 0.000
0.500 0.000 0.500
```

- Energy above the lowest structure with this stoichiometry: 45 meV per atom
- Spin magnetization: 4.8 μB per formula unit
- E_form (uncorrected): -7 kJ/mol of atoms
- SG: Pmmm (47)

***

Crystalline ScBe2Re at its relaxed geometry, computed with GGA-PBEsol.

```
ScBe2Re
1.0
-2.505 -0.259 0.533
-0.504 -0.864 -2.788
1.047 -6.418 1.799
Re Be Sc
1 2 1
direct
0.000 0.000 0.442
0.500 0.500 0.220
0.000 0.000 0.068
0.500 0.500 0.770
```

- Energy above the lowest structure with this stoichiometry: 161 meV per atom
- Spin magnetization: 0.3 μB per formula unit
- SG: Pmm2 (25)

***

Crystalline ReTc2P at its relaxed geometry, computed with GGA-PBEsol.

```
ReTc2P
1.0
-0.910 -1.543 -2.212
2.697 -0.557 -0.721
-0.096 -5.341 3.765
Tc P Re
2 1 1
direct
0.000 0.000 0.780
0.000 0.000 0.220
0.500 0.500 0.000
0.500 0.500 0.500
```

- Spin magnetization: 0.0 μB per formula unit
- SG: P4/mmm (123)
- Uncorrected energy: -10.72 eV/atom

***

Crystalline LiPtS2 at its relaxed geometry, computed with GGA-PBEsol.

```
LiPtS2
1.0
2.938 0.000 0.000
1.469 2.544 0.000
1.469 0.848 7.886
Pt S Li
1 2 1
direct
0.000 0.000 0.000
0.095 0.095 0.716
0.905 0.905 0.284
0.500 0.500 0.500
```

- Spin magnetization: 0.0 μB per formula unit
- E_form (uncorrected): -27 kJ/mol of atoms
- SG: R-3m (166)

***

Crystalline CaFeCo2 at its relaxed geometry, computed with GGA-PBEsol.

```
CaFeCo2
1.0
-2.380 -0.788 -3.050
-0.573 -3.736 -1.143
-4.837 -1.865 1.701
Fe Ca Co
1 1 2
direct
0.440 0.440 0.681
0.248 0.248 0.256
0.060 0.060 0.820
0.736 0.736 0.792
```

- Energy above the lowest structure with this stoichiometry: 0 meV per atom
- Spin magnetization: 4.8 μB per formula unit
- SG: R3m (160)

***

Crystalline NbCr3 at its relaxed geometry, computed with GGA-PBEsol.

```
NbCr3
1.0
-3.769 -1.771 0.065
-0.586 -3.576 2.053
-2.222 -0.039 3.522
Cr Nb
3 1
direct
0.500 0.500 0.500
0.750 0.750 0.750
0.250 0.250 0.250
0.000 0.000 0.000
```

- Spin magnetization: 0.0 μB per formula unit
- SG: Fm-3m (225)
- Uncorrected energy: -10.29 eV/atom

***

Crystalline BaLi2Co at its relaxed geometry, computed with GGA-PBEsol.

```
BaLi2Co
1.0
3.864 0.000 -0.095
0.000 3.973 0.000
-1.766 0.000 6.370
Co Li Ba
1 2 1
direct
0.087 0.500 0.799
0.727 0.500 0.079
0.206 0.000 0.037
0.481 0.000 0.586
```

- Energy above the lowest structure with this stoichiometry: 0 meV per atom
- Spin magnetization: 0.9 μB per formula unit
- SG: Pm (6)

***

Crystalline Be2CoAu at its relaxed geometry, computed with GGA-PBEsol.

```
Be2CoAu
1.0
-0.608 -2.138 -1.944
3.301 -1.622 0.752
-1.612 -2.019 2.723
Be Au Co
2 1 1
direct
0.000 0.000 0.500
0.000 0.500 0.000
0.500 0.000 0.000
0.500 0.500 0.500
```

- Spin magnetization: 0.1 μB per formula unit
- SG: P4/mmm (123)
- Uncorrected energy: -5.14 eV/atom

***

Crystalline KSi at its relaxed geometry, computed with GGA-PBEsol.

```
KSi
1.0
3.880 0.000 0.000
0.000 4.769 0.000
0.000 0.000 8.250
K Si
2 2
direct
0.250 0.000 0.240
0.750 0.000 0.760
0.250 0.500 0.922
0.750 0.500 0.078
```

- Energy above the lowest structure with this stoichiometry: 200 meV per atom
- Spin magnetization: 0.0 μB per formula unit
- E_form (uncorrected): 13 kJ/mol of atoms
- SG: Pmma (51)

***

Crystalline CaCoH2 at its relaxed geometry, computed with GGA-PBEsol.

```
CaCoH2
1.0
-1.941 3.231 1.952
-1.809 -2.723 2.708
5.498 0.190 0.537
Ca Co H
2 2 4
direct
0.500 0.500 0.000
0.750 0.250 0.500
0.000 0.000 0.000
0.250 0.750 0.500
0.125 0.973 0.750
0.027 0.375 0.250
0.223 0.875 0.250
0.625 0.777 0.750
```

- Energy above the lowest structure with this stoichiometry: 0 meV per atom
- Spin magnetization: 0.0 μB per formula unit
- SG: I-42d (122)

***

Crystalline Hf6Al2Pt at its relaxed geometry, computed with GGA-PBEsol.

```
Hf6Al2Pt
1.0
3.302 0.000 0.000
0.000 7.851 0.000
0.000 -3.925 6.799
Hf Al Pt
6 2 1
direct
0.000 0.602 0.602
0.500 0.000 0.731
0.000 0.398 0.000
0.500 0.269 0.269
0.500 0.731 0.000
0.000 0.000 0.398
0.500 0.667 0.333
0.500 0.333 0.667
0.000 0.000 0.000
```

- Spin magnetization: 0.0 μB per formula unit
- SG: P-62m (189)
- Uncorrected energy: -9.16 eV/atom

***

Crystalline Hf2PPdO at its relaxed geometry, computed with GGA-PBEsol.

```
Hf2PPdO
1.0
-0.803 3.258 -0.820
-1.838 0.689 4.538
4.444 1.491 1.574
Hf Pd O P
2 1 1 1
direct
0.000 0.500 0.000
0.000 0.000 0.500
0.500 0.500 0.500
0.500 0.000 0.000
0.000 0.000 0.000
```

- Spin magnetization: 0.0 μB per formula unit
- E_form (uncorrected): -37 kJ/mol of atoms
- SG: P4/mmm (123)

***

Crystalline MgCd2BiIr at its relaxed geometry, computed with GGA-PBEsol.

```
MgCd2BiIr
1.0
4.682 0.000 0.000
0.000 4.992 0.000
0.000 0.000 4.992
Cd Mg Ir Bi
2 1 1 1
direct
0.000 0.000 0.500
0.000 0.500 0.000
0.000 0.000 0.000
0.500 0.000 0.000
0.500 0.500 0.500
```

- Spin magnetization: 0.0 μB per formula unit
- SG: P4/mmm (123)
- Uncorrected energy: -2.82 eV/atom

***

Crystalline KScZn2 at its relaxed geometry, computed with GGA-PBEsol.

```
KScZn2
1.0
-0.814 -0.192 3.100
-0.803 -5.125 -0.528
4.980 -0.909 1.252
Zn Sc K
2 1 1
direct
0.000 0.500 0.000
0.000 0.000 0.500
0.500 0.000 0.000
0.500 0.500 0.500
```

- Spin magnetization: 0.0 μB per formula unit
- SG: P4/mmm (123)
- Uncorrected energy: -2.55 eV/atom

***

Crystalline Sn5P6O25 at its relaxed geometry, computed with GGA-PBEsol.

```
Sn5P6O25
1.0
-4.412 -7.146 -0.092
2.049 -6.131 -5.362
4.657 -7.865 4.196
O Sn P
25 5 6
direct
0.439 0.087 0.341
0.731 0.783 0.385
0.500 0.500 0.500
0.101 0.731 0.385
0.783 0.101 0.385
0.913 0.867 0.659
0.269 0.217 0.615
0.831 0.400 0.209
0.899 0.269 0.615
0.956 0.901 0.870
0.087 0.133 0.341
0.169 0.600 0.791
0.400 0.561 0.209
0.099 0.728 0.130
0.561 0.913 0.659
0.728 0.044 0.130
0.272 0.956 0.870
0.901 0.272 0.870
0.133 0.439 0.341
0.439 0.169 0.791
0.867 0.561 0.659
0.217 0.899 0.615
0.600 0.439 0.791
0.044 0.099 0.130
0.561 0.831 0.209
0.571 0.571 0.286
0.826 0.826 0.521
0.174 0.174 0.479
0.000 0.000 0.000
0.429 0.429 0.714
0.617 0.937 0.269
0.383 0.063 0.731
0.063 0.823 0.731
0.823 0.383 0.731
0.177 0.617 0.269
0.937 0.177 0.269
```

- Spin magnetization: 0.0 μB per formula unit
- E_form (uncorrected): -188 kJ/mol of atoms
- SG: R-3 (148)

***

Crystalline CsLiNb2Cr at its relaxed geometry, computed with GGA-PBEsol.

```
CsLiNb2Cr
1.0
-3.040 -3.102 1.462
3.322 -3.148 0.229
1.212 1.730 6.189
Li Cs Cr Nb
1 1 1 2
direct
0.500 0.500 0.500
0.000 0.000 0.500
0.000 0.000 0.000
0.500 0.000 0.000
0.000 0.500 0.000
```

- Spin magnetization: 0.7 μB per formula unit
- SG: P4/mmm (123)
- Uncorrected energy: -5.49 eV/atom

***

Crystalline BaH4Br2O2 at its relaxed geometry, computed with GGA-PBEsol.

```
BaH4Br2O2
1.0
6.276 0.056 -0.020
2.348 5.821 -0.020
2.728 1.859 7.582
H O Br Ba
8 4 4 2
direct
0.757 0.397 0.865
0.243 0.603 0.135
0.591 0.235 0.946
0.397 0.757 0.365
0.409 0.765 0.054
0.603 0.243 0.635
0.235 0.591 0.446
0.765 0.409 0.554
0.752 0.238 0.940
0.762 0.248 0.560
0.248 0.762 0.060
0.238 0.752 0.440
0.698 0.738 0.646
0.302 0.262 0.354
0.262 0.302 0.854
0.738 0.698 0.146
0.102 0.898 0.750
0.898 0.102 0.250
```

- Spin magnetization: 0.0 μB per formula unit
- SG: C2/c (15)
- Uncorrected energy: -4.74 eV/atom

***

Crystalline BaLi2Hg at its relaxed geometry, computed with GGA-PBEsol.

```
BaLi2Hg
1.0
-3.226 -2.136 -0.230
3.090 -4.740 0.684
-0.523 3.784 4.843
Li Hg Ba
2 1 1
direct
0.698 0.698 0.397
0.302 0.302 0.603
0.000 0.500 0.000
0.500 0.000 0.000
```

- Spin magnetization: 0.0 μB per formula unit
- SG: Immm (71)
- Uncorrected energy: -1.87 eV/atom

***

Crystalline NbBi3Os at its relaxed geometry, computed with GGA-PBEsol.

```
NbBi3Os
1.0
5.225 0.000 0.000
0.000 5.225 0.000
0.000 0.000 5.225
Bi Os Nb
3 1 1
direct
0.000 0.000 0.500
0.000 0.500 0.000
0.500 0.000 0.000
0.000 0.000 0.000
0.500 0.500 0.500
```

- Spin magnetization: 3.5 μB per formula unit
- SG: Pm-3m (221)
- Uncorrected energy: -5.84 eV/atom

***

Crystalline LuZnPd at its relaxed geometry, computed with GGA-PBEsol.

```
LuZnPd
1.0
-1.966 2.570 -1.888
2.910 -2.216 -6.048
-6.015 -2.911 2.303
Zn Pd Lu
3 3 3
direct
0.500 0.254 0.254
0.500 0.000 0.746
0.500 0.746 0.000
0.500 0.667 0.333
0.500 0.333 0.667
0.000 0.000 0.000
0.000 0.000 0.403
0.000 0.403 0.000
0.000 0.597 0.597
```

- Spin magnetization: 0.0 μB per formula unit
- SG: P-62m (189)
- Uncorrected energy: -4.90 eV/atom

***

Crystalline Eu2GdTaO6 at its relaxed geometry, computed with GGA-PBEsol.

```
Eu2GdTaO6
1.0
5.912 0.000 0.000
2.956 5.120 0.000
2.956 1.707 4.827
Eu O Gd Ta
2 6 1 1
direct
0.250 0.250 0.250
0.750 0.750 0.750
0.764 0.236 0.764
0.764 0.236 0.236
0.764 0.764 0.236
0.236 0.236 0.764
0.236 0.764 0.236
0.236 0.764 0.764
0.500 0.500 0.500
0.000 0.000 0.000
```

- Spin magnetization: 7.0 μB per formula unit
- E_form (uncorrected): -292 kJ/mol of atoms
- SG: Fm-3m (225)

***

Crystalline Li2BeCr at its relaxed geometry, computed with GGA-PBEsol.

```
Li2BeCr
1.0
2.195 0.000 0.015
0.000 4.525 0.000
-0.213 0.000 4.538
Cr Li Be
1 2 1
direct
0.000 0.500 0.500
0.304 0.000 0.253
0.696 0.000 0.747
0.500 0.500 0.000
```

- Spin magnetization: 0.1 μB per formula unit
- SG: P2/m (10)
- Uncorrected energy: -4.12 eV/atom